TcPbO3 | Alexandria via LeMat-Bulk | PBE-GGA | optimized geometry; volume = 12.9 A^3/atom; raw total energy = -6.98 eV/atom; space group = I4/mcm
1.0
4.955 0.000 -2.807
-1.591 4.693 -2.807
-0.064 -0.089 5.664
O Tc Pb
6 2 2
direct
0.795 0.705 0.000
0.295 0.795 0.000
0.250 0.250 0.500
0.705 0.205 0.000
0.205 0.295 0.000
0.750 0.750 0.500
0.000 0.000 0.000
0.500 0.500 0.000
0.250 0.750 0.500
0.750 0.250 0.500